(1)
Er2Tm5Pb4: relaxed, PBE.

Computed properties:
- Formation energy from the elements: -0.30 eV per formula unit
- Space group: C2/m, No. 12
- Magnetic moment: 0.0001 μB per atom

Lattice parameters (Å, degrees): 11.8331 11.8331 8.2347 91.41 91.41 16.83
Positions (direct):
Er  0.2300  0.2300  0.3287
Er  0.7700  0.7700  0.6713
Tm  0.0000  0.0000  0.5000
Tm  0.3187  0.3187  0.0105
Tm  0.3706  0.3706  0.4380
Tm  0.6294  0.6294  0.5620
Tm  0.6813  0.6813  0.9895
Pb  0.0943  0.0943  0.2272
Pb  0.4575  0.4575  0.1515
Pb  0.5425  0.5425  0.8485
Pb  0.9057  0.9057  0.7728

(2)
Er6Tm8Pb: relaxed, PBE.

Computed properties:
- Formation energy from the elements: 2.91 eV per formula unit
- Space group: P-3, No. 147
- Magnetic moment: 0.0000 μB per atom

Lattice parameters (Å, degrees): 9.0839 9.0839 6.6449 90.00 90.00 120.00
Positions (direct):
Er  0.0813  0.6833  0.0999
Er  0.3167  0.3981  0.0999
Er  0.3981  0.0813  0.9001
Er  0.6019  0.9187  0.0999
Er  0.6833  0.6019  0.9001
Er  0.9187  0.3167  0.9001
Tm  0.0206  0.3377  0.3957
Tm  0.3171  0.9794  0.3957
Tm  0.3333  0.6667  0.6961
Tm  0.3377  0.3171  0.6043
Tm  0.6623  0.6829  0.3957
Tm  0.6667  0.3333  0.3039
Tm  0.6829  0.0206  0.6043
Tm  0.9794  0.6623  0.6043
Pb  0.0000  0.0000  0.0000

(3)
Er14TmPb: relaxed, PBE.

Computed properties:
- Formation energy from the elements: -0.36 eV per formula unit
- Space group: Amm2, No. 38
- Magnetic moment: 0.0001 μB per atom

Lattice parameters (Å, degrees): 10.7144 6.8512 6.8512 74.74 90.00 90.00
Positions (direct):
Er  0.0000  0.0000  0.0000
Er  0.0000  0.4500  0.4500
Er  0.0000  0.5294  0.9306
Er  0.0000  0.9306  0.5294
Er  0.2242  0.2285  0.2285
Er  0.2549  0.2989  0.7185
Er  0.2549  0.7185  0.2989
Er  0.2779  0.7916  0.7916
Er  0.5000  0.0902  0.5004
Er  0.5000  0.5004  0.0902
Er  0.7221  0.7916  0.7916
Er  0.7451  0.2989  0.7185
Er  0.7451  0.7185  0.2989
Er  0.7758  0.2285  0.2285
Tm  0.5000  0.0236  0.0236
Pb  0.5000  0.5742  0.5742

(4)
Er3Tm2Pb3: relaxed, PBE.

Computed properties:
- Formation energy from the elements: -4.11 eV per formula unit
- Energy relative to the lowest polymorph listed for this composition: 0 meV/atom
- Space group: P6_3/mcm, No. 193
- Magnetic moment: 0.0000 μB per atom

Lattice parameters (Å, degrees): 8.9645 8.9645 6.5356 90.00 90.00 120.00
Positions (direct):
Er  0.0000  0.2360  0.2500
Er  0.0000  0.7640  0.7500
Er  0.2360  0.0000  0.2500
Er  0.2360  0.2360  0.7500
Er  0.7640  0.0000  0.7500
Er  0.7640  0.7640  0.2500
Tm  0.3333  0.6667  0.0000
Tm  0.3333  0.6667  0.5000
Tm  0.6667  0.3333  0.0000
Tm  0.6667  0.3333  0.5000
Pb  0.0000  0.3951  0.7500
Pb  0.0000  0.6049  0.2500
Pb  0.3951  0.0000  0.7500
Pb  0.3951  0.3951  0.2500
Pb  0.6049  0.0000  0.2500
Pb  0.6049  0.6049  0.7500

> formation energy from the elements of number 2 (Er6Tm8Pb)?

2.91 eV per formula unit